Density functional theory data (GGA-PBE) for a geometry-optimized HoSc2Te3 structure.

The structure belongs to space group R-3c (No. 167, hexagonal axes); the cell edges are 7.1933, 7.1933 and 21.6511 Å and the angles 90.00°, 90.00° and 120.00°. The distinct sites, in fractional coordinates, are Ho at (0.0000, 0.0000, 0.0000), Sc at (0.0000, 0.0000, 0.1647) and Te at (0.0000, 0.3235, 0.2500).

For the raw formation energy, the calculation gives -1190 meV/atom. The magnetic moment is 0.00 μB/atom.